No. 1
The following is a DFT calculation (PBE) of a geometry-optimized Cd2HPd5 structure.

Properties
- DOS(E_F) (states/eV/cell) = 4.5
- total magnetization (Bohr magnetons per cell) = 0.00
- calculated density (g cm⁻³) = 9.8
- electronic total energy (eV/atom) = -4.038
- space group = No. 123

a b c (Å): 5.621 5.621 4.079
angles (deg): 90.00 90.00 90.00
Atoms (fractional coordinates):
Cd  0.000  0.500  0.000
Cd  0.500  0.000  0.000
H  0.000  0.000  0.500
Pd  0.000  0.000  0.000
Pd  0.255  0.255  0.500
Pd  0.255  0.745  0.500
Pd  0.745  0.255  0.500
Pd  0.745  0.745  0.500

---

No. 2
The following is a DFT calculation (PBE) of a geometry-optimized BeNi2P structure.

Properties
- DOS(E_F) (states/eV/cell) = 1.8
- total magnetization (Bohr magnetons per cell) = 0.00
- calculated density (g cm⁻³) = 6.5
- space group = No. 225
- distance to the lowest polymorph of the same formula (eV per formula unit) = 0.06

a b c (Å): 3.836 3.836 3.836
angles (deg): 60.00 60.00 60.00
Atoms (fractional coordinates):
Be  0.000  0.000  0.000
Ni  0.250  0.250  0.250
Ni  0.750  0.750  0.750
P  0.500  0.500  0.500

---

No. 3
The following is a DFT calculation (PBE) of a geometry-optimized BaSr2LiAu structure.

Properties
- DOS(E_F) (states/eV/cell) = 2.7
- total magnetization (Bohr magnetons per cell) = 0.00
- calculated density (g cm⁻³) = 3.6
- space group = No. 123
- distance to the lowest polymorph of the same formula (eV per formula unit) = 0.00

a b c (Å): 6.146 6.146 6.380
angles (deg): 90.00 90.00 90.00
Atoms (fractional coordinates):
Ba  0.000  0.000  0.000
Sr  0.000  0.500  0.500
Sr  0.500  0.000  0.500
Li  0.500  0.500  0.000
Au  0.000  0.000  0.500

---

No. 4
The following is a DFT calculation (PBE) of a geometry-optimized BaAc2Rh9 structure.

Properties
- DOS(E_F) (states/eV/cell) = 14.8
- total magnetization (Bohr magnetons per cell) = 0.00
- calculated density (g cm⁻³) = 10.8
- electronic total energy (eV/atom) = -6.661
- space group = No. 166

a b c (Å): 9.503 9.503 9.503
angles (deg): 33.54 33.54 33.54
Atoms (fractional coordinates):
Ba  0.000  0.000  0.000
Ac  0.137  0.137  0.137
Ac  0.863  0.863  0.863
Rh  0.084  0.579  0.579
Rh  0.332  0.332  0.332
Rh  0.421  0.421  0.916
Rh  0.421  0.916  0.421
Rh  0.500  0.500  0.500
Rh  0.579  0.084  0.579
Rh  0.579  0.579  0.084
Rh  0.668  0.668  0.668
Rh  0.916  0.421  0.421

---

No. 5
The following is a DFT calculation (PBE) of a geometry-optimized BaCuAu3 structure.

Properties
- DOS(E_F) (states/eV/cell) = 1.3
- total magnetization (Bohr magnetons per cell) = 0.00
- calculated density (g cm⁻³) = 10.4
- space group = No. 221
- distance to the lowest polymorph of the same formula (eV per formula unit) = 0.00

a b c (Å): 5.016 5.016 5.016
angles (deg): 90.00 90.00 90.00
Atoms (fractional coordinates):
Ba  0.000  0.000  0.000
Cu  0.500  0.500  0.500
Au  0.000  0.500  0.500
Au  0.500  0.000  0.500
Au  0.500  0.500  0.000

---

No. 6
The following is a DFT calculation (PBE) of a geometry-optimized Dy4Tm3Zr structure.

Properties
- DOS(E_F) (states/eV/cell) = 12.9
- total magnetization (Bohr magnetons per cell) = 0.00
- calculated density (g cm⁻³) = 8.5
- space group = No. 12
- distance to the lowest polymorph of the same formula (eV per formula unit) = 1.31

a b c (Å): 13.103 13.103 3.453
angles (deg): 90.05 90.05 24.33
Atoms (fractional coordinates):
Dy  0.100  0.100  0.001
Dy  0.222  0.222  0.001
Dy  0.778  0.778  0.999
Dy  0.900  0.900  0.999
Tm  0.346  0.346  0.499
Tm  0.500  0.500  0.000
Tm  0.654  0.654  0.501
Zr  0.000  0.000  0.500